1.
A geometry-optimized SnHBr2 structure. Source: the Alexandria database, functional GGA-PBE.

Computed properties:
crystal system: cubic
uncorrected energy: -2.632 eV/atom
calculated volume: 24.52 A^3/atom
theoretical density: 4733 kg/m³

a b c (Å): 5.176 5.176 5.176
angles (deg): 60.00 60.00 60.00
Positions (direct):
Sn (0.000, 0.000, 0.000)
H (0.500, 0.500, 0.500)
Br (0.250, 0.250, 0.250)
Br (0.750, 0.750, 0.750)



2.
A geometry-optimized PrDyAgOs structure. Source: the Alexandria database, functional GGA-PBE.

Computed properties:
crystal system: cubic
uncorrected energy: -6.014 eV/atom
calculated volume: 22.78 A^3/atom
theoretical density: 10962 kg/m³

a b c (Å): 5.051 5.051 5.051
angles (deg): 60.00 60.00 60.00
Positions (direct):
Pr (0.000, 0.000, 0.000)
Dy (0.500, 0.500, 0.500)
Ag (0.250, 0.250, 0.250)
Os (0.750, 0.750, 0.750)